Material: Ag2WO2F4
Method: DFT, PBE+U
State: relaxed

Summary:
Electronic total energy = -0.3687 Ry per atom
Space group = C2/m

Cell lengths 6.1680, 6.1680, 5.2345 Å; angles 107.42, 107.42, 53.69 degrees
Last column: nearest neighbours and their distance in Å.
Atoms (fractional coordinates):
Ag  0.1462  0.1462  0.4482  1 O 2.17
Ag  0.8538  0.8538  0.5518  1 O 2.17
W  0.5000  0.5000  0.0000  2 O 1.84, 4 F 1.96
O  0.3437  0.3437  0.7235  1 W 1.84
O  0.6563  0.6563  0.2765  1 W 1.84
F  0.1882  0.6914  0.1896  1 W 1.96
F  0.3086  0.8118  0.8104  1 W 1.96
F  0.6914  0.1882  0.1896  1 W 1.96
F  0.8118  0.3086  0.8104  1 W 1.96